No. 1
A geometry-optimized Sm8GeTe3Se3 structure. Source: Alexandria via LeMat-Bulk, functional PBE.

Properties
density of states at the Fermi level	6.6	states/eV/f.u.
formation energy without anion corrections	-1.42	eV/atom
final energy	-0.40910	Ry/atom

CIF file:
```
data_Sm8GeTe3Se3
_space_group_name_H-M_alt 'R -3 m'
_space_group_IT_number 166
_space_group_name_Hall '-R 3 2"'
_cell_length_a 8.4951
_cell_length_b 8.4951
_cell_length_c 21.4511
_cell_angle_alpha 90.00
_cell_angle_beta 90.00
_cell_angle_gamma 120.00
loop_
_atom_site_label
_atom_site_fract_x
_atom_site_fract_y
_atom_site_fract_z
_atom_site_occupancy
Sm1 0.0000 0.0000 0.2394 1
Sm2 0.0026 0.5013 0.2414 1
Ge1 0.0000 0.0000 0.5000 1
Te1 0.0000 0.5000 0.0000 1
Se1 0.0000 0.5000 0.5000 1
```



No. 2
A geometry-optimized Sm8GeTe4Se3 structure. Source: Alexandria via LeMat-Bulk, functional PBE.

Properties
density of states at the Fermi level	5.4	states/eV/f.u.
formation energy without anion corrections	-1.54	eV/atom
final energy	-0.41388	Ry/atom

CIF file:
```
data_Sm8GeTe4Se3
_space_group_name_H-M_alt 'R -3 m'
_space_group_IT_number 166
_space_group_name_Hall '-R 3 2"'
_cell_length_a 8.5605
_cell_length_b 8.5605
_cell_length_c 21.6484
_cell_angle_alpha 90.00
_cell_angle_beta 90.00
_cell_angle_gamma 120.00
loop_
_atom_site_label
_atom_site_fract_x
_atom_site_fract_y
_atom_site_fract_z
_atom_site_occupancy
Sm1 0.0000 0.0000 0.2394 1
Sm2 0.0057 0.5029 0.2398 1
Ge1 0.0000 0.0000 0.5000 1
Te1 0.0000 0.0000 0.0000 1
Te2 0.0000 0.5000 0.0000 1
Se1 0.0000 0.5000 0.5000 1
```



No. 3
A geometry-optimized Sm8Ge3Te3Se structure. Source: Alexandria via LeMat-Bulk, functional PBE.

Properties
density of states at the Fermi level	8.2	states/eV/f.u.
formation energy without anion corrections	-1.19	eV/atom
final energy	-0.40333	Ry/atom

CIF file:
```
data_Sm8Ge3Te3Se
_space_group_name_H-M_alt 'R -3 m'
_space_group_IT_number 166
_space_group_name_Hall '-R 3 2"'
_cell_length_a 8.5782
_cell_length_b 8.5782
_cell_length_c 21.3417
_cell_angle_alpha 90.00
_cell_angle_beta 90.00
_cell_angle_gamma 120.00
loop_
_atom_site_label
_atom_site_fract_x
_atom_site_fract_y
_atom_site_fract_z
_atom_site_occupancy
Sm1 0.0000 0.0000 0.2415 1
Sm2 0.0106 0.5053 0.7572 1
Ge1 0.0000 0.5000 0.5000 1
Te1 0.0000 0.5000 0.0000 1
Se1 0.0000 0.0000 0.5000 1
```



No. 4
A geometry-optimized Sm6GeTe2Se3 structure. Source: Alexandria via LeMat-Bulk, functional PBE.

Properties
density of states at the Fermi level	5.9	states/eV/f.u.
formation energy without anion corrections	-1.57	eV/atom
final energy	-0.41931	Ry/atom

CIF file:
```
data_Sm6GeTe2Se3
_space_group_name_H-M_alt 'C 1 2/m 1'
_space_group_IT_number 12
_space_group_name_Hall '-C 2y'
_cell_length_a 7.466
_cell_length_b 12.917
_cell_length_c 7.371
_cell_angle_alpha 90.00
_cell_angle_beta 109.70
_cell_angle_gamma 90.00
loop_
_atom_site_label
_atom_site_fract_x
_atom_site_fract_y
_atom_site_fract_z
_atom_site_occupancy
Sm1 0.221 0.000 0.238 1
Sm2 0.241 0.155 0.760 1
Ge1 0.000 0.000 0.500 1
Te1 0.000 0.334 0.500 1
Se1 0.000 0.174 0.000 1
Se2 0.000 0.500 0.000 1
```



No. 5
A geometry-optimized SmThGeSe structure. Source: Alexandria via LeMat-Bulk, functional PBE.

Properties
density of states at the Fermi level	2.0	states/eV/f.u.
formation energy without anion corrections	-1.32	eV/atom
final energy	-0.46881	Ry/atom

CIF file:
```
data_SmThGeSe
_space_group_name_H-M_alt 'R 3 m'
_space_group_IT_number 160
_space_group_name_Hall 'R 3 -2"'
_cell_length_a 4.2667
_cell_length_b 4.2667
_cell_length_c 20.6541
_cell_angle_alpha 90.00
_cell_angle_beta 90.00
_cell_angle_gamma 120.00
loop_
_atom_site_label
_atom_site_fract_x
_atom_site_fract_y
_atom_site_fract_z
_atom_site_occupancy
Sm1 0.0000 0.0000 0.0000 1
Th1 0.0000 0.0000 0.4927 1
Ge1 0.0000 0.0000 0.7463 1
Se1 0.0000 0.0000 0.2471 1
```



No. 6
A geometry-optimized Sm3Tl4GeSe8 structure. Source: Alexandria via LeMat-Bulk, functional PBE.

Properties
density of states at the Fermi level	7.5	states/eV/f.u.
formation energy without anion corrections	-1.08	eV/atom
final energy	-0.33682	Ry/atom

CIF file:
```
data_Sm3Tl4GeSe8
_space_group_name_H-M_alt 'R -3 m'
_space_group_IT_number 166
_space_group_name_Hall '-R 3 2"'
_cell_length_a 8.4846
_cell_length_b 8.4846
_cell_length_c 22.7780
_cell_angle_alpha 90.00
_cell_angle_beta 90.00
_cell_angle_gamma 120.00
loop_
_atom_site_label
_atom_site_fract_x
_atom_site_fract_y
_atom_site_fract_z
_atom_site_occupancy
Sm1 0.0000 0.5000 0.0000 1
Tl1 0.0000 0.0000 0.5000 1
Tl2 0.0000 0.5000 0.5000 1
Ge1 0.0000 0.0000 0.0000 1
Se1 0.0000 0.0000 0.2623 1
Se2 0.0094 0.5047 0.7353 1
```



No. 7
A geometry-optimized Sm2Tl3GeSe6 structure. Source: Alexandria via LeMat-Bulk, functional PBE.

Properties
density of states at the Fermi level	5.8	states/eV/f.u.
formation energy without anion corrections	-0.98	eV/atom
final energy	-0.32935	Ry/atom

CIF file:
```
data_Sm2Tl3GeSe6
_space_group_name_H-M_alt 'C 1 2/m 1'
_space_group_IT_number 12
_space_group_name_Hall '-C 2y'
_cell_length_a 19.473
_cell_length_b 4.202
_cell_length_c 8.998
_cell_angle_alpha 90.00
_cell_angle_beta 108.24
_cell_angle_gamma 90.00
loop_
_atom_site_label
_atom_site_fract_x
_atom_site_fract_y
_atom_site_fract_z
_atom_site_occupancy
Sm1 0.164 0.000 0.333 1
Tl1 0.000 0.500 0.500 1
Tl2 0.168 0.000 0.841 1
Ge1 0.000 0.500 0.000 1
Se1 0.005 0.000 0.218 1
Se2 0.152 0.500 0.101 1
Se3 0.176 0.500 0.566 1
```



No. 8
A geometry-optimized SmTlGeSe3 structure. Source: Alexandria via LeMat-Bulk, functional PBE.

Properties
formation energy without anion corrections	-0.98	eV/atom
final energy	-0.34351	Ry/atom

CIF file:
```
data_SmTlGeSe3
_space_group_name_H-M_alt 'P 1 21/m 1'
_space_group_IT_number 11
_space_group_name_Hall '-P 2yb'
_cell_length_a 8.533
_cell_length_b 4.089
_cell_length_c 11.119
_cell_angle_alpha 90.00
_cell_angle_beta 105.92
_cell_angle_gamma 90.00
loop_
_atom_site_label
_atom_site_fract_x
_atom_site_fract_y
_atom_site_fract_z
_atom_site_occupancy
Sm1 0.151 0.250 0.155 1
Tl1 0.245 0.750 0.715 1
Ge1 0.369 0.750 0.439 1
Se1 0.104 0.250 0.886 1
Se2 0.166 0.250 0.423 1
Se3 0.407 0.750 0.224 1
```